Entry 1:
Computed, not measured: an optimized crystal structure of GeTe2HN at the PBE level of DFT.

## Properties
E above lowest polymorph = 0 meV per atom

Unit cell a=5.4407 b=5.4407 c=2.9285 alpha=90.00 beta=90.00 gamma=90.00
Fractional positions:
H  0.0000  0.0000  0.0000
Ge  0.5000  0.5000  0.5000
Te  0.0000  0.5000  0.0000
Te  0.5000  0.0000  0.0000
N  0.0000  0.0000  0.5000


Entry 2:
Computed, not measured: an optimized crystal structure of Ce4As5N at the PBE level of DFT.

## Properties
uncorrected formation energy = -808.3 meV/atom

Unit cell a=3.9920 b=7.3823 c=9.1794 alpha=116.76 beta=102.56 gamma=90.00
Fractional positions:
Ce  0.3362  0.9008  0.6725
Ce  0.9806  0.7573  0.9612
Ce  0.6638  0.0992  0.3275
Ce  0.0194  0.2427  0.0388
As  0.7986  0.5210  0.5971
As  0.8476  0.1963  0.6953
As  0.1524  0.8037  0.3047
As  0.5000  0.5000  0.0000
As  0.2014  0.4790  0.4029
N  0.5000  0.0000  0.0000


Entry 3:
Computed, not measured: an optimized crystal structure of HgBPd2 at the PBE level of DFT.

## Properties
energy of formation from the pure elements = -59 kJ/mol of formula units
E above lowest polymorph = 0 meV per atom

Unit cell a=3.1880 b=3.1880 c=7.1438 alpha=77.11 beta=77.11 gamma=60.00
Fractional positions:
B  0.0000  0.0000  0.0000
Hg  0.5000  0.5000  0.5000
Pd  0.7210  0.7210  0.8371
Pd  0.2790  0.2790  0.1629


Entry 4:
Computed, not measured: an optimized crystal structure of GaFeSiHN at the PBE level of DFT.

## Properties
E above lowest polymorph = 116 meV per atom

Unit cell a=2.8983 b=2.9779 c=6.1075 alpha=90.00 beta=90.19 gamma=90.00
Fractional positions:
Ga  0.6306  0.0000  0.4276
Fe  0.1324  0.5000  0.6516
Si  0.1280  0.0000  0.9556
H  0.1316  0.5000  0.3943
N  0.6291  0.0000  0.1142


Entry 5:
Computed, not measured: an optimized crystal structure of Sm3CuIr at the PBE level of DFT.

## Properties
energy of formation from the pure elements = -181 kJ/mol of formula units

Unit cell a=6.3347 b=10.1353 c=8.7346 alpha=116.75 beta=90.00 gamma=90.00
Fractional positions:
Sm  0.0000  0.6989  0.8725
Sm  0.0000  0.3011  0.1275
Sm  0.5000  0.8011  0.1275
Sm  0.5000  0.1989  0.8725
Sm  0.4994  0.4693  0.7198
Sm  0.5006  0.5307  0.2802
Sm  0.9994  0.0307  0.2802
Sm  0.0006  0.9693  0.7198
Sm  0.9999  0.3129  0.6959
Sm  0.0001  0.6871  0.3041
Sm  0.4999  0.1871  0.3041
Sm  0.5001  0.8129  0.6959
Cu  0.8143  0.4965  0.4985
Cu  0.1857  0.5035  0.5015
Cu  0.3143  0.0035  0.5016
Cu  0.6857  0.9965  0.4984
Ir  0.2403  0.5000  0.0001
Ir  0.7597  0.5000  0.9999
Ir  0.7403  0.0000  0.9999
Ir  0.2597  0.0000  0.0001


Entry 6:
Computed, not measured: an optimized crystal structure of PrTl6Hg23 at the PBE level of DFT.

## Properties
energy of formation from the pure elements = -81 kJ/mol of formula units

Unit cell a=10.6225 b=10.6225 c=10.6225 alpha=60.00 beta=60.00 gamma=60.00
Fractional positions:
Pr  0.5000  0.5000  0.5000
Tl  0.7842  0.7842  0.2158
Tl  0.2158  0.2158  0.7842
Tl  0.7842  0.2158  0.2158
Tl  0.2158  0.7842  0.7842
Tl  0.7842  0.2158  0.7842
Tl  0.2158  0.7842  0.2158
Hg  0.5231  0.1590  0.1590
Hg  0.4769  0.8410  0.8410
Hg  0.1590  0.1590  0.5231
Hg  0.1590  0.1590  0.1590
Hg  0.8410  0.8410  0.4769
Hg  0.8410  0.8410  0.8410
Hg  0.1590  0.5231  0.1590
Hg  0.8410  0.4769  0.8410
Hg  0.5000  0.5000  0.0000
Hg  0.0000  0.0000  0.5000
Hg  0.5000  0.0000  0.0000
Hg  0.0000  0.5000  0.5000
Hg  0.5000  0.0000  0.5000
Hg  0.0000  0.5000  0.0000
Hg  0.8665  0.3778  0.3778
Hg  0.1335  0.6222  0.6222
Hg  0.3778  0.3778  0.8665
Hg  0.3778  0.3778  0.3778
Hg  0.6222  0.6222  0.1335
Hg  0.6222  0.6222  0.6222
Hg  0.3778  0.8665  0.3778
Hg  0.6222  0.1335  0.6222
Hg  0.0000  0.0000  0.0000


Entry 7:
Computed, not measured: an optimized crystal structure of Zn2SbIr at the PBE level of DFT.

## Properties
uncorrected formation energy = 160.8 meV/atom
E above lowest polymorph = 184 meV per atom

Unit cell a=4.5875 b=4.5875 c=4.5875 alpha=60.00 beta=60.00 gamma=60.00
Fractional positions:
Ir  0.5000  0.5000  0.5000
Sb  0.7500  0.7500  0.7500
Zn  0.0000  0.0000  0.0000
Zn  0.2500  0.2500  0.2500


Entry 8:
Computed, not measured: an optimized crystal structure of PmSnPd4 at the PBE level of DFT.

## Properties
energy of formation from the pure elements = -354 kJ/mol of formula units
E above lowest polymorph = 12 meV per atom

Unit cell a=5.4323 b=5.4323 c=5.4323 alpha=60.00 beta=60.00 gamma=60.00
Fractional positions:
Sn  0.0000  0.0000  0.0000
Pd  0.6253  0.6253  0.1241
Pd  0.6253  0.1241  0.6253
Pd  0.6253  0.6253  0.6253
Pd  0.1241  0.6253  0.6253
Pm  0.2500  0.2500  0.2500


Entry 9:
Computed, not measured: an optimized crystal structure of FeNi2Pt2 at the PBE level of DFT.

## Properties
energy of formation from the pure elements = 32 kJ/mol of formula units
E above lowest polymorph = 87 meV per atom

Unit cell a=6.1284 b=6.1284 c=3.6603 alpha=90.00 beta=90.00 gamma=90.00
Fractional positions:
Ni  0.3644  0.8644  0.0000
Ni  0.8644  0.6356  0.0000
Ni  0.6356  0.1356  0.0000
Ni  0.1356  0.3644  0.0000
Fe  0.0000  0.0000  0.0000
Fe  0.5000  0.5000  0.0000
Pt  0.1636  0.6636  0.5000
Pt  0.6636  0.8364  0.5000
Pt  0.8364  0.3364  0.5000
Pt  0.3364  0.1636  0.5000


Entry 10:
Computed, not measured: an optimized crystal structure of USb2Ru at the PBE level of DFT.

## Properties
uncorrected formation energy = -298.4 meV/atom
E above lowest polymorph = 30 meV per atom

Unit cell a=4.4039 b=4.4039 c=9.5637 alpha=103.31 beta=103.31 gamma=90.00
Fractional positions:
U  0.1326  0.1326  0.2653
U  0.8674  0.8674  0.7347
Sb  0.0000  0.5000  0.0000
Sb  0.5000  0.0000  0.0000
Sb  0.3381  0.3381  0.6761
Sb  0.6619  0.6619  0.3239
Ru  0.2500  0.7500  0.5000
Ru  0.7500  0.2500  0.5000


Entry 11:
Computed, not measured: an optimized crystal structure of ZrIn2Tc at the PBE level of DFT.

## Properties
energy of formation from the pure elements = 34 kJ/mol of formula units
E above lowest polymorph = 145 meV per atom

Unit cell a=9.7245 b=9.7245 c=9.7245 alpha=19.27 beta=19.27 gamma=19.27
Fractional positions:
In  0.0022  0.0022  0.0022
In  0.2400  0.2400  0.2400
Tc  0.4950  0.4950  0.4950
Zr  0.7628  0.7628  0.7628


Entry 12:
Computed, not measured: an optimized crystal structure of TlB at the PBE level of DFT.

## Properties
energy of formation from the pure elements = 97 kJ/mol of formula units
E above lowest polymorph = 13 meV per atom

Unit cell a=10.1696 b=10.1696 c=3.1872 alpha=90.00 beta=90.00 gamma=120.00
Fractional positions:
Tl  0.8169  0.6339  0.2500
Tl  0.1830  0.8169  0.7500
Tl  0.3661  0.1830  0.2500
Tl  0.1830  0.3661  0.7500
Tl  0.8169  0.1830  0.2500
Tl  0.6339  0.8169  0.7500
B  0.5006  0.0013  0.2500
B  0.4994  0.5006  0.7500
B  0.9987  0.4994  0.2500
B  0.4994  0.9987  0.7500
B  0.5006  0.4994  0.2500
B  0.0013  0.5006  0.7500


Entry 13:
Computed, not measured: an optimized crystal structure of Tb3PrNd6Tm2 at the PBE level of DFT.

## Properties
energy of formation from the pure elements = 16 kJ/mol of formula units

Unit cell a=6.2858 b=6.2858 c=11.9321 alpha=95.03 beta=95.03 gamma=119.99
Fractional positions:
Tb  0.1669  0.8331  0.5000
Tb  0.8331  0.1669  0.5000
Tb  0.5000  0.5000  0.5000
Pr  0.0000  0.0000  0.0000
Nd  0.9160  0.5814  0.7496
Nd  0.7496  0.7496  0.2501
Nd  0.0840  0.4186  0.2504
Nd  0.5814  0.9160  0.7496
Nd  0.2504  0.2504  0.7499
Nd  0.4186  0.0840  0.2504
Tm  0.3334  0.6666  0.0000
Tm  0.6666  0.3334  0.0000


Entry 14:
Computed, not measured: an optimized crystal structure of AcTl2IrO6 at the PBE level of DFT.

## Properties
uncorrected formation energy = -1346.1 meV/atom

Unit cell a=5.9990 b=6.1244 c=8.5535 alpha=90.00 beta=90.27 gamma=90.00
Fractional positions:
Ac  0.5000  0.0000  0.0000
Ac  0.0000  0.5000  0.5000
Tl  0.0105  0.9716  0.2561
Tl  0.5105  0.5284  0.7561
Tl  0.9895  0.0284  0.7439
Tl  0.4895  0.4716  0.2439
Ir  0.5000  0.0000  0.5000
Ir  0.0000  0.5000  0.0000
O  0.2595  0.6817  0.0458
O  0.7595  0.8183  0.5458
O  0.7405  0.3183  0.9542
O  0.2405  0.1817  0.4542
O  0.3260  0.7431  0.4401
O  0.8260  0.7569  0.9401
O  0.6740  0.2569  0.5599
O  0.1740  0.2431  0.0599
O  0.9024  0.5404  0.2157
O  0.4024  0.9596  0.7157
O  0.0976  0.4596  0.7843
O  0.5976  0.0404  0.2843


Entry 15:
Computed, not measured: an optimized crystal structure of Ta3Nb4V2 at the PBE level of DFT.

## Properties
energy of formation from the pure elements = 32 kJ/mol of formula units

Unit cell a=5.7175 b=7.2903 c=7.8933 alpha=80.13 beta=90.33 gamma=74.74
Fractional positions:
Ta  0.8043  0.8356  0.2805
Ta  0.6400  0.8267  0.9366
Ta  0.1957  0.1644  0.7195
Ta  0.3600  0.1733  0.0634
Ta  0.2485  0.5004  0.4935
Ta  0.7515  0.4996  0.5065
Nb  0.3114  0.8324  0.2821
Nb  0.1373  0.8280  0.9483
Nb  0.6886  0.1676  0.7179
Nb  0.8627  0.1720  0.0517
Nb  0.0325  0.1686  0.3839
Nb  0.4173  0.5057  0.8306
Nb  0.9675  0.8314  0.6161
Nb  0.5827  0.4943  0.1694
V  0.5253  0.1658  0.3961
V  0.9240  0.4974  0.8388
V  0.4747  0.8342  0.6039
V  0.0760  0.5026  0.1612


Entry 16:
Computed, not measured: an optimized crystal structure of Th6CoSn3 at the PBE level of DFT.

## Properties
energy of formation from the pure elements = -105 kJ/mol of formula units

Unit cell a=7.5221 b=9.4466 c=9.4466 alpha=104.07 beta=90.00 gamma=90.00
Fractional positions:
Th  0.1853  0.6873  0.6144
Th  0.6853  0.6144  0.6873
Th  0.1562  0.3947  0.9218
Th  0.6562  0.9218  0.3947
Th  0.2473  0.0070  0.9930
Th  0.6966  0.2364  0.7636
Th  0.1966  0.7636  0.2364
Th  0.7473  0.9930  0.0070
Th  0.1562  0.0782  0.6053
Th  0.6562  0.6053  0.0782
Th  0.1853  0.3856  0.3127
Th  0.6853  0.3127  0.3856
Co  0.9961  0.1362  0.8638
Co  0.4961  0.8638  0.1362
Sn  0.4978  0.9199  0.7058
Sn  0.9978  0.7058  0.9199
Sn  0.3666  0.3781  0.6219
Sn  0.8666  0.6219  0.3781
Sn  0.9978  0.0801  0.2942
Sn  0.4978  0.2942  0.0801


Entry 17:
Computed, not measured: an optimized crystal structure of MnS2 at the PBE level of DFT.

## Properties
uncorrected formation energy = -355.0 meV/atom

Unit cell a=6.2868 b=6.3551 c=6.2449 alpha=60.21 beta=90.00 gamma=90.00
Fractional positions:
Mn  0.6247  0.7433  0.5245
Mn  0.1247  0.2567  0.9755
Mn  0.3753  0.2567  0.4755
Mn  0.8753  0.7433  0.0245
S  0.8052  0.4750  0.8835
S  0.3052  0.5250  0.6165
S  0.1948  0.5250  0.1165
S  0.6948  0.4750  0.3835
S  0.0584  0.0916  0.7212
S  0.5584  0.9084  0.7788
S  0.9416  0.9084  0.2788
S  0.4416  0.0916  0.2212


Entry 18:
Computed, not measured: an optimized crystal structure of Zn2CrTe at the PBE level of DFT.

## Properties
uncorrected formation energy = 233.4 meV/atom

Unit cell a=3.7506 b=4.1443 c=5.6440 alpha=65.54 beta=90.00 gamma=90.00
Fractional positions:
Cr  0.5000  0.5000  0.5000
Te  0.0000  0.0000  0.5000
Zn  0.0000  0.0000  0.0000
Zn  0.5000  0.5000  0.0000


Entry 19:
Computed, not measured: an optimized crystal structure of ZnC3F at the PBE level of DFT.

## Properties
uncorrected formation energy = 3120.9 meV/atom
E above lowest polymorph = 134 meV per atom

Unit cell a=3.7849 b=3.7849 c=3.7849 alpha=90.00 beta=90.00 gamma=90.00
Fractional positions:
Zn  0.5000  0.5000  0.5000
C  0.0000  0.5000  0.0000
C  0.0000  0.0000  0.5000
C  0.5000  0.0000  0.0000
F  0.0000  0.0000  0.0000


Entry 20:
Computed, not measured: an optimized crystal structure of Ti3Ir5 at the PBE level of DFT.

## Properties
energy of formation from the pure elements = -624 kJ/mol of formula units

Unit cell a=4.0390 b=5.4433 c=5.4433 alpha=96.15 beta=90.00 gamma=90.00
Fractional positions:
Ti  0.0000  0.5000  0.5000
Ti  0.5000  0.7843  0.2157
Ti  0.5000  0.2157  0.7843
Ir  0.0000  0.0000  0.0000
Ir  0.0000  0.0000  0.5000
Ir  0.0000  0.5000  0.0000
Ir  0.5000  0.2780  0.2780
Ir  0.5000  0.7220  0.7220


Entry 21:
Computed, not measured: an optimized crystal structure of Rb3Ce3PbS8 at the PBE level of DFT.

## Properties
uncorrected formation energy = -1550.3 meV/atom

Unit cell a=8.3992 b=8.3989 c=9.0661 alpha=117.62 beta=89.98 gamma=120.00
Fractional positions:
Rb  0.0000  0.0000  0.0000
Rb  0.0000  0.5000  0.0000
Rb  0.5000  0.5000  0.0000
Ce  0.5000  0.0000  0.5000
Ce  0.5000  0.5000  0.5000
Ce  0.0000  0.5000  0.5000
Pb  0.0000  0.0000  0.5000
S  0.2686  0.5375  0.3063
S  0.7314  0.4625  0.6937
S  0.7596  0.5192  0.3099
S  0.2404  0.4808  0.6901
S  0.7596  0.0501  0.3099
S  0.2404  0.9499  0.6901
S  0.2904  0.0500  0.3098
S  0.7096  0.9500  0.6902